# 1
K3Dy2GaO6 | GGA-PBE | optimized geometry

Cell lengths 5.825, 5.825, 6.520 Å; angles 98.52, 98.52, 120.03 degrees
Sites, in units of the cell vectors:
K 0.000 0.000 0.000
K 0.337 0.663 0.000
K 0.663 0.337 0.000
Dy 0.167 0.833 0.500
Dy 0.833 0.167 0.500
Ga 0.500 0.500 0.500
O 0.128 0.439 0.318
O 0.249 0.249 0.681
O 0.439 0.128 0.318
O 0.561 0.872 0.682
O 0.751 0.751 0.319
O 0.872 0.561 0.682

Properties
- E_form (uncorrected) (eV per atom) = -2.341
- space-group type = C2/m, No. 12
- mass density (g/cm³) = 5.52
- total DFT energy (no corrections) (eV per atom) = -6.11

# 2
Be2HgIr | GGA-PBE | optimized geometry

Cell lengths 4.294, 4.294, 4.294 Å; angles 60.00, 60.00, 60.00 degrees
Sites, in units of the cell vectors:
Be 0.000 0.000 0.000
Be 0.250 0.250 0.250
Hg 0.500 0.500 0.500
Ir 0.750 0.750 0.750

Properties
- energy relative to the elements (eV per formula unit) = 1.8
- space-group type = F-43m, No. 216
- mass density (g/cm³) = 12.18
- total DFT energy (no corrections) (eV per atom) = -3.72

# 3
Ag2Ir2Os | GGA-PBE | optimized geometry

Cell lengths 7.428, 7.428, 7.428 Å; angles 152.62, 152.62, 39.11 degrees
Sites, in units of the cell vectors:
Ag 0.250 0.750 0.500
Ag 0.750 0.250 0.500
Ir 0.090 0.090 0.000
Ir 0.910 0.910 0.000
Os 0.500 0.500 0.000

Properties
- energy relative to the elements (eV per formula unit) = 5.4
- space-group type = I4/mmm, No. 139
- polymorph energy (0 for the lowest one) (meV/atom) = 325
- mass density (g/cm³) = 15.17
- total DFT energy (no corrections) (eV per atom) = -5.85

# 4
YAl4NiIr2 | GGA-PBE | optimized geometry

Cell lengths 8.896, 8.896, 8.896 Å; angles 27.32, 27.32, 27.32 degrees
Sites, in units of the cell vectors:
Y 0.000 0.000 0.000
Al 0.134 0.134 0.134
Al 0.405 0.405 0.405
Al 0.595 0.595 0.595
Al 0.866 0.866 0.866
Ni 0.500 0.500 0.500
Ir 0.234 0.234 0.234
Ir 0.766 0.766 0.766

Properties
- energy relative to the elements (eV per formula unit) = -6.1
- space-group type = R-3m, No. 166
- mass density (g/cm³) = 8.12
- total DFT energy (no corrections) (eV per atom) = -6.38